# 1
Compound: TiCd2As2
Source: Alexandria
Functional: PBE
Structure: relaxed

The space group is P4/mbm (No. 127) and the conventional cell measures 6.975, 6.975 and 4.202 Å, with angles of 90.00, 90.00 and 90.00 degrees. The asymmetric unit holds Ti at (0.000, 0.000, 0.000), Cd at (0.158, 0.342, 0.500) and As at (0.160, 0.660, 0.000).

The calculation puts the total energy at -3.897 eV/atom. The formation energy comes out at -92 meV/atom.

---

# 2
Compound: Tl2Cd2As
Source: Alexandria
Functional: PBE
Structure: relaxed

The space group is P4/mbm (No. 127) and the conventional cell measures 7.259, 7.259 and 5.203 Å, with angles of 90.00, 90.00 and 90.00 degrees. The asymmetric unit holds Tl at (0.173, 0.327, 0.000), Cd at (0.139, 0.639, 0.500) and As at (0.000, 0.000, 0.500).

The calculation puts the total energy at -2.194 eV/atom. The energy relative to the lowest polymorph listed for this composition is 0.000 eV/atom. The formation energy comes out at 48 meV/atom.

---

# 3
Compound: Tl2CdAs
Source: Alexandria
Functional: PBE
Structure: relaxed

The space group is R-3m (No. 166, hexagonal axes) and the conventional cell measures 3.3200, 3.3200 and 33.7894 Å, with angles of 90.00, 90.00 and 120.00 degrees. The asymmetric unit holds Tl at (0.0000, 0.0000, 0.2442), Cd at (0.0000, 0.0000, 0.0000) and As at (0.0000, 0.0000, 0.5000).

The calculation puts the total energy at -2.391 eV/atom. The energy relative to the lowest polymorph listed for this composition is 0.131 eV/atom. The formation energy comes out at 183 meV/atom.